## TeSe2 (PBE)

Data for crystalline TeSe2 at its relaxed geometry.

The structure belongs to space group Imma (No. 74); the cell edges are 3.499, 6.264 and 15.454 Å and the angles 90.00°, 90.00° and 90.00°. The asymmetric unit holds Te at (0.000, 0.250, 0.146), Se at (0.000, 0.250, 0.486) and Se at (0.000, 0.250, 0.694).

The magnetic moment is 0.0 μB per formula unit. The energy relative to the elements, uncorrected comes out at 0.91 eV/f.u. As for the density of states at the Fermi level: 1.85 states/eV/f.u.

## KZnTe2 (PBE)

Data for crystalline KZnTe2 at its relaxed geometry.

The structure belongs to space group Cmm2 (No. 35); the cell edges are 4.572, 4.593 and 11.769 Å and the angles 90.00°, 90.00° and 90.00°. The asymmetric unit holds K at (0.000, 0.000, 0.000), Zn at (0.000, 0.500, 0.778), Te at (0.000, 0.000, 0.581) and Te at (0.000, 0.500, 0.230).

The magnetic moment is 0.0 μB per formula unit. The energy relative to the elements, uncorrected comes out at -0.22 eV/f.u. As for the density of states at the Fermi level: 1.77 states/eV/f.u.

## TbGaAgAu (PBE)

Data for crystalline TbGaAgAu at its relaxed geometry.

The structure belongs to space group F-43m (No. 216); the cell edges are 6.854, 6.854 and 6.854 Å and the angles 90.00°, 90.00° and 90.00°. The asymmetric unit holds Tb at (0.000, 0.000, 0.000), Ga at (0.000, 0.000, 0.500), Ag at (0.250, 0.250, 0.250) and Au at (0.250, 0.250, 0.750).

The magnetic moment is 0.0 μB per formula unit. As for the density of states at the Fermi level: 2.41 states/eV/f.u. The value obtained for the formation energy is -1.98 eV/f.u.